Material: Re3WAu
Method: DFT, GGA-PBE
State: relaxed

As for the density of states at the Fermi level: 1.481 states/eV/atom. The formation energy is 53.61 kcal/mol of atoms. The calculation puts the volume at 105 Å³ per cell. For the energy above the most stable polymorph in this dataset, the calculation gives 0.0 meV per atom.

It has space group Pm-3m (No. 221), with a = 4.7171 Å, b = 4.7171 Å, c = 4.7171 Å, α = 90.00°, β = 90.00° and γ = 90.00°. The asymmetric unit holds Re at (0.0000, 0.0000, 0.5000), W at (0.0000, 0.0000, 0.0000) and Au at (0.5000, 0.5000, 0.5000).

Material: Re2WAu
Method: DFT, GGA-PBE
State: relaxed

As for the density of states at the Fermi level: 0.762 states/eV/atom. The formation energy is 7.83 kcal/mol of atoms. The calculation puts the volume at 127 Å³ per cell. For the energy above the most stable polymorph in this dataset, the calculation gives 104.4 meV per atom.

It has space group C2/m (No. 12), with a = 9.3026 Å, b = 2.8767 Å, c = 4.8405 Å, α = 90.00°, β = 101.31° and γ = 90.00°. The asymmetric unit holds Re at (0.2429, 0.0000, 0.2351), W at (0.0000, 0.5000, 0.0000) and Au at (0.0000, 0.0000, 0.5000).

Material: Re2WAu
Method: DFT, GGA-PBE
State: relaxed

As for the density of states at the Fermi level: 0.593 states/eV/atom. The formation energy is 13.91 kcal/mol of atoms. The calculation puts the volume at 256 Å³ per cell. For the energy above the most stable polymorph in this dataset, the calculation gives 368.1 meV per atom.

It has space group F-43m (No. 216), with a = 6.3498 Å, b = 6.3498 Å, c = 6.3498 Å, α = 90.00°, β = 90.00° and γ = 90.00°. The asymmetric unit holds Re at (0.0000, 0.0000, 0.0000), Re at (0.2500, 0.2500, 0.2500), W at (0.2500, 0.2500, 0.7500) and Au at (0.0000, 0.0000, 0.5000).

Material: Re2WAu
Method: DFT, GGA-PBE
State: relaxed

As for the density of states at the Fermi level: 0.625 states/eV/atom. The formation energy is 7.25 kcal/mol of atoms. The calculation puts the volume at 125 Å³ per cell. For the energy above the most stable polymorph in this dataset, the calculation gives 79.2 meV per atom.

It has space group Imm2 (No. 44), with a = 3.9640 Å, b = 3.9785 Å, c = 7.9558 Å, α = 90.00°, β = 90.00° and γ = 90.00°. The asymmetric unit holds Re at (0.0000, 0.0000, 0.0000), Re at (0.0000, 0.5000, 0.2614), W at (0.0000, 0.0000, 0.5011) and Au at (0.0000, 0.5000, 0.7521).

Material: ReWAu
Method: DFT, GGA-PBE
State: relaxed

As for the density of states at the Fermi level: 0.517 states/eV/atom. The formation energy is 8.80 kcal/mol of atoms. The calculation puts the volume at 99 Å³ per cell. For the energy above the most stable polymorph in this dataset, the calculation gives 40.6 meV per atom.

It has space group I4mm (No. 107), with a = 3.3078 Å, b = 3.3078 Å, c = 9.0450 Å, α = 90.00°, β = 90.00° and γ = 90.00°. The asymmetric unit holds Re at (0.0000, 0.0000, 0.0000), W at (0.0000, 0.0000, 0.3638) and Au at (0.0000, 0.0000, 0.6839).

Material: Re2WAu
Method: DFT, GGA-PBE
State: relaxed

As for the density of states at the Fermi level: 1.135 states/eV/atom. The formation energy is 9.59 kcal/mol of atoms. The calculation puts the volume at 64 Å³ per cell. For the energy above the most stable polymorph in this dataset, the calculation gives 180.5 meV per atom.

It has space group P4/mmm (No. 123), with a = 2.7973 Å, b = 2.7973 Å, c = 8.1795 Å, α = 90.00°, β = 90.00° and γ = 90.00°. The asymmetric unit holds Re at (0.0000, 0.0000, 0.2377), W at (0.5000, 0.5000, 0.0000) and Au at (0.5000, 0.5000, 0.5000).

Material: Re2WAu
Method: DFT, GGA-PBE
State: relaxed

As for the density of states at the Fermi level: 0.044 states/eV/atom. The formation energy is 5.42 kcal/mol of atoms. The calculation puts the volume at 192 Å³ per cell. For the energy above the most stable polymorph in this dataset, the calculation gives 0.0 meV per atom.

It has space group R3m (No. 160, hexagonal axes), with a = 2.8085 Å, b = 2.8085 Å, c = 28.1716 Å, α = 90.00°, β = 90.00° and γ = 120.00°. The asymmetric unit holds Re at (0.0000, 0.0000, 0.0000), Re at (0.0000, 0.0000, 0.2574), W at (0.0000, 0.0000, 0.7502) and Au at (0.0000, 0.0000, 0.5033).

Material: ZrRe2WAu
Method: DFT, GGA-PBE
State: relaxed

As for the density of states at the Fermi level: 1.510 states/eV/atom. The formation energy is 60.67 kcal/mol of atoms. The calculation puts the volume at 109 Å³ per cell.

It has space group P4/mmm (No. 123), with a = 4.6942 Å, b = 4.6942 Å, c = 4.9264 Å, α = 90.00°, β = 90.00° and γ = 90.00°. The asymmetric unit holds Zr at (0.0000, 0.0000, 0.0000), Re at (0.0000, 0.5000, 0.0000), W at (0.5000, 0.5000, 0.5000) and Au at (0.0000, 0.0000, 0.5000).